Entry 1:
This record from Alexandria via LeMat-Bulk describes a relaxed GaSbRh3 crystal. The functional is PBE.

The total energy is -26.97 eV per cell. For the formation energy without anion corrections, the calculation gives 0.447 eV per atom. The calculation puts the energy above the lowest structure with this stoichiometry at 0.0 meV/atom.

The structure belongs to space group Pm-3m (No. 221); the cell edges are 4.558, 4.558 and 4.558 Å and the angles 90.00°, 90.00° and 90.00°. The inequivalent atoms are Ga at (0.000, 0.000, 0.000), Sb at (0.500, 0.500, 0.500) and Rh at (0.000, 0.000, 0.500).

---

Entry 2:
This record from Alexandria via LeMat-Bulk describes a relaxed GaSbRh3 crystal. The functional is PBE.

The total energy is -24.98 eV per cell. For the formation energy without anion corrections, the calculation gives 0.844 eV per atom. The calculation puts the energy above the lowest structure with this stoichiometry at 397.5 meV/atom.

The structure belongs to space group Pm-3m (No. 221); the cell edges are 4.819, 4.819 and 4.819 Å and the angles 90.00°, 90.00° and 90.00°. The inequivalent atoms are Ga at (0.000, 0.000, 0.000), Sb at (0.500, 0.500, 0.500) and Rh at (0.000, 0.500, 0.500).

---

Entry 3:
This record from Alexandria via LeMat-Bulk describes a relaxed Ga2SbRh2 crystal. The functional is PBE.

The total energy is -52.90 eV per cell. For the formation energy without anion corrections, the calculation gives -0.314 eV per atom. The calculation puts the energy above the lowest structure with this stoichiometry at 116.2 meV/atom.

The structure belongs to space group P4/mbm (No. 127); the cell edges are 7.531, 7.531 and 2.937 Å and the angles 90.00°, 90.00° and 90.00°. The inequivalent atoms are Ga at (0.132, 0.368, 0.000), Sb at (0.000, 0.000, 0.000) and Rh at (0.160, 0.660, 0.500).

---

Entry 4:
This record from Alexandria via LeMat-Bulk describes a relaxed GaSb2Rh8 crystal. The functional is PBE.

The total energy is -145.75 eV per cell. For the formation energy without anion corrections, the calculation gives -0.254 eV per atom.

The structure belongs to space group Immm (No. 71); the cell edges are 3.979, 7.460 and 11.854 Å and the angles 90.00°, 90.00° and 90.00°. The inequivalent atoms are Ga at (0.000, 0.000, 0.000), Sb at (0.000, 0.000, 0.346), Rh at (0.000, 0.245, 0.166), Rh at (0.000, 0.269, 0.500) and Rh at (0.000, 0.500, 0.331).

---

Entry 5:
This record from Alexandria via LeMat-Bulk describes a relaxed Ga2Sb2Rh crystal. The functional is PBE.

The total energy is -42.78 eV per cell. For the formation energy without anion corrections, the calculation gives 0.052 eV per atom. The calculation puts the energy above the lowest structure with this stoichiometry at 0.0 meV/atom.

The structure belongs to space group P4/mbm (No. 127); the cell edges are 6.675, 6.675 and 4.604 Å and the angles 90.00°, 90.00° and 90.00°. The inequivalent atoms are Ga at (0.139, 0.361, 0.000), Sb at (0.179, 0.679, 0.500) and Rh at (0.000, 0.000, 0.000).

---

Entry 6:
This record from Alexandria via LeMat-Bulk describes a relaxed GaSbRh crystal. The functional is PBE.

The total energy is -63.09 eV per cell. For the formation energy without anion corrections, the calculation gives -0.424 eV per atom. The calculation puts the energy above the lowest structure with this stoichiometry at 0.0 meV/atom.

The structure belongs to space group F-43m (No. 216); the cell edges are 6.182, 6.182 and 6.182 Å and the angles 90.00°, 90.00° and 90.00°. The inequivalent atoms are Ga at (0.000, 0.000, 0.000), Sb at (0.000, 0.000, 0.500) and Rh at (0.250, 0.250, 0.750).